(1)
Entry from Alexandria: a geometry-optimized Mg2CoSb structure (GGA-PBE).

Computed properties:
- formation energy from raw total energies (eV/atom) = 0.04
- total moment (μB per formula unit) = 0.9
- space group = No. 139
- mass density (g cm⁻³) = 5.27

Cell lengths 5.221, 5.221, 5.221 Å; angles 134.10, 134.10, 66.93 degrees
Atoms (fractional coordinates):
Mg  0.250  0.750  0.500
Mg  0.750  0.250  0.500
Co  0.000  0.000  0.000
Sb  0.500  0.500  0.000

***

(2)
Entry from Alexandria: a geometry-optimized MgCo2Sb2 structure (GGA-PBE).

Computed properties:
- formation energy from raw total energies (eV/atom) = 0.07
- total moment (μB per formula unit) = 1.2
- space group = No. 139
- offset from the most stable computed form (kJ/mol of atoms) = 1.8
- mass density (g cm⁻³) = 6.56

Cell lengths 6.151, 6.151, 6.151 Å; angles 139.41, 139.41, 58.76 degrees
Atoms (fractional coordinates):
Mg  0.000  0.000  0.000
Co  0.250  0.750  0.500
Co  0.750  0.250  0.500
Sb  0.368  0.368  0.000
Sb  0.632  0.632  0.000

***

(3)
Entry from Alexandria: a geometry-optimized MgCoSb2 structure (GGA-PBE).

Computed properties:
- formation energy from raw total energies (eV/atom) = 0.23
- total moment (μB per formula unit) = 0.8
- space group = No. 123
- mass density (g cm⁻³) = 6.74

Cell lengths 4.546, 4.546, 3.894 Å; angles 90.00, 90.00, 90.00 degrees
Atoms (fractional coordinates):
Mg  0.000  0.000  0.000
Co  0.500  0.500  0.000
Sb  0.000  0.500  0.500
Sb  0.500  0.000  0.500

***

(4)
Entry from Alexandria: a geometry-optimized MgCoSb structure (GGA-PBE).

Computed properties:
- formation energy from raw total energies (eV/atom) = -0.19
- total moment (μB per formula unit) = 0.3
- space group = No. 62
- mass density (g cm⁻³) = 6.29

Cell lengths 7.012, 4.384, 7.036 Å; angles 90.00, 90.00, 90.00 degrees
Atoms (fractional coordinates):
Mg  0.023  0.250  0.198
Mg  0.477  0.750  0.698
Mg  0.523  0.250  0.302
Mg  0.977  0.750  0.802
Co  0.140  0.750  0.453
Co  0.360  0.250  0.953
Co  0.640  0.750  0.047
Co  0.860  0.250  0.547
Sb  0.215  0.250  0.619
Sb  0.285  0.750  0.119
Sb  0.715  0.250  0.881
Sb  0.785  0.750  0.381

***

(5)
Entry from Alexandria: a geometry-optimized Mg2CoSb structure (GGA-PBE).

Computed properties:
- formation energy from raw total energies (eV/atom) = 0.03
- total moment (μB per formula unit) = 0.3
- space group = No. 99
- mass density (g cm⁻³) = 4.82

Cell lengths 3.142, 3.142, 8.005 Å; angles 90.00, 90.00, 90.00 degrees
Atoms (fractional coordinates):
Mg  0.000  0.000  0.000
Mg  0.500  0.500  0.291
Co  0.500  0.500  0.789
Sb  0.000  0.000  0.616

***

(6)
Entry from Alexandria: a geometry-optimized MgCoSb2 structure (GGA-PBE).

Computed properties:
- formation energy from raw total energies (eV/atom) = 0.16
- total moment (μB per formula unit) = 0.5
- space group = No. 71
- mass density (g cm⁻³) = 6.47

Cell lengths 5.192, 5.192, 5.192 Å; angles 135.34, 118.35, 79.27 degrees
Atoms (fractional coordinates):
Mg  0.000  0.000  0.000
Co  0.500  0.500  0.000
Sb  0.288  0.788  0.500
Sb  0.712  0.212  0.500

***

(7)
Entry from Alexandria: a geometry-optimized Mg2CoSb2 structure (GGA-PBE).

Computed properties:
- formation energy from raw total energies (eV/atom) = 0.58
- total moment (μB per formula unit) = 2.0
- space group = No. 139
- offset from the most stable computed form (kJ/mol of atoms) = 55.2
- mass density (g cm⁻³) = 4.48

Cell lengths 7.947, 7.947, 7.947 Å; angles 149.36, 149.36, 43.89 degrees
Atoms (fractional coordinates):
Mg  0.094  0.094  0.000
Mg  0.906  0.906  0.000
Co  0.500  0.500  0.000
Sb  0.250  0.750  0.500
Sb  0.750  0.250  0.500

***

(8)
Entry from Alexandria: a geometry-optimized MgCoSb2 structure (GGA-PBE).

Computed properties:
- formation energy from raw total energies (eV/atom) = 0.16
- total moment (μB per formula unit) = 0.0
- space group = No. 160
- mass density (g cm⁻³) = 6.28

Cell lengths 8.981, 8.981, 8.981 Å; angles 21.65, 21.65, 21.65 degrees
Atoms (fractional coordinates):
Mg  0.000  0.000  0.000
Co  0.739  0.739  0.739
Sb  0.238  0.238  0.238
Sb  0.464  0.464  0.464